(1)
## SrAlH3 (PBE-GGA)

Data for a relaxed SrAlH3 crystal.

Lattice parameters (Å, degrees): 4.5505 4.5505 4.5505 90.00 90.00 90.00
Closest atoms and distances in Å follow each position.
Element x y z (fractional)
1 Sr 0.0000 0.0000 0.0000  6 H 2.28
2 Al 0.5000 0.5000 0.5000  12 H 3.22
3 H 0.0000 0.5000 0.0000  2 Sr 2.28
4 H 0.0000 0.0000 0.5000  2 Sr 2.28
5 H 0.5000 0.0000 0.0000  2 Sr 2.28

## Properties
ΔE to the lowest computed polymorph   54.2 kJ/mol of atoms
Magnetization   0.00 μB/f.u.



(2)
## SrAlH3 (PBE-GGA)

Data for a relaxed SrAlH3 crystal.

Lattice parameters (Å, degrees): 3.9683 3.9683 3.9683 90.00 90.00 90.00
Closest atoms and distances in Å follow each position.
Element x y z (fractional)
1 Sr 0.5000 0.5000 0.5000  12 H 2.81
2 Al 0.0000 0.0000 0.0000  6 H 1.98
3 H 0.0000 0.5000 0.0000  2 Al 1.98
4 H 0.0000 0.0000 0.5000  2 Al 1.98
5 H 0.5000 0.0000 0.0000  2 Al 1.98

## Properties
ΔE to the lowest computed polymorph   21.9 kJ/mol of atoms
Magnetization   0.00 μB/f.u.



(3)
## Sr4Al2H (PBE-GGA)

Data for a relaxed Sr4Al2H crystal.

Lattice parameters (Å, degrees): 5.2320 5.2320 9.1804 106.56 106.56 90.00
Closest atoms and distances in Å follow each position.
Element x y z (fractional)
1 Sr 0.8181 0.8181 0.6362  1 H 3.06, 1 Al 3.30
2 Sr 0.1819 0.1819 0.3638  1 H 3.06, 1 Al 3.30
3 Sr 0.0000 0.5000 0.0000  2 H 2.62
4 Sr 0.5000 0.0000 0.0000  2 H 2.62
5 Al 0.6216 0.6216 0.2432  5 Sr 3.30-3.32
6 Al 0.3784 0.3784 0.7568  5 Sr 3.30-3.32
7 H 0.0000 0.0000 0.0000  4 Sr 2.62

## Properties
E_tot   -18.37 eV for the cell shown
Magnetization   0.00 μB/f.u.



(4)
## SrAlH4 (PBE-GGA)

Data for a relaxed SrAlH4 crystal.

Lattice parameters (Å, degrees): 4.3347 4.3347 8.8862 78.65 78.65 61.88
Closest atoms and distances in Å follow each position.
Element x y z (fractional)
1 Sr 0.0000 0.5000 0.5000  10 H 2.51-2.65
2 Sr 0.5000 0.0000 0.0000  10 H 2.51-2.65
3 Al 0.2382 0.7618 0.7500  4 H 1.69-1.76
4 Al 0.7618 0.2382 0.2500  4 H 1.69-1.76
5 H 0.7857 0.8406 0.2434  1 Al 1.69
6 H 0.3374 0.8023 0.5479  1 Al 1.76
7 H 0.6626 0.1977 0.4521  1 Al 1.76
8 H 0.8406 0.7857 0.7434  1 Al 1.69
9 H 0.1594 0.2143 0.2566  1 Al 1.69
10 H 0.1977 0.6626 0.9521  1 Al 1.76
11 H 0.8023 0.3374 0.0479  1 Al 1.76
12 H 0.2143 0.1594 0.7566  1 Al 1.69

## Properties
E_tot   -40.10 eV for the cell shown
Magnetization   0.00 μB/f.u.